Material: Sc2Fe5C4
Method: DFT, PBE-GGA
State: optimized geometry

Results
Spin magnetization ... 0.001 μB/cell
Symmetry ... Fmmm
ΔH_f (0 K) ... -0.22 eV/atom
Crystal system ... orthorhombic
Mass density ... 6.23 Mg/m³

Cell: 4.890 5.101 5.637 Å, 78.00 64.29 61.36°
Element x y z (fractional)
1 Sc 0.855 0.000 0.289
2 Sc 0.145 0.000 0.711
3 Fe 0.500 0.000 0.000
4 Fe 0.000 0.500 0.000
5 Fe 0.500 0.500 0.000
6 Fe 0.250 0.500 0.500
7 Fe 0.750 0.500 0.500
8 C 0.477 0.313 0.733
9 C 0.523 0.687 0.267
10 C 0.210 0.313 0.267
11 C 0.790 0.687 0.733


Material: ScFe4C2
Method: DFT, PBE-GGA
State: optimized geometry

Results
Spin magnetization ... 9.694 μB/cell
Symmetry ... P4_2/mnm
ΔH_f (0 K) ... -0.05 eV/atom
Crystal system ... tetragonal
Mass density ... 6.98 Mg/m³

Cell: 3.124 6.675 6.675 Å, 90.00 90.00 90.00°
Element x y z (fractional)
1 Sc 0.500 0.000 0.000
2 Sc 0.000 0.500 0.500
3 C 0.000 0.213 0.787
4 C 0.000 0.787 0.213
5 C 0.500 0.713 0.713
6 C 0.500 0.287 0.287
7 Fe 0.000 0.078 0.323
8 Fe 0.000 0.922 0.677
9 Fe 0.500 0.177 0.578
10 Fe 0.500 0.823 0.422
11 Fe 0.500 0.422 0.823
12 Fe 0.500 0.578 0.177
13 Fe 0.000 0.323 0.078
14 Fe 0.000 0.677 0.922


Material: ScFe2C
Method: DFT, PBE-GGA
State: optimized geometry

Results
Spin magnetization ... 2.083 μB/cell
Symmetry ... Cmcm
ΔH_f (0 K) ... -0.09 eV/atom
Crystal system ... orthorhombic
Mass density ... 6.09 Mg/m³

Cell: 3.309 3.486 8.138 Å, 90.00 101.73 90.00°
Element x y z (fractional)
1 Sc 0.388 0.250 0.775
2 Sc 0.612 0.750 0.225
3 Fe 0.749 0.250 0.499
4 Fe 0.251 0.750 0.501
5 Fe 0.043 0.250 0.086
6 Fe 0.957 0.750 0.914
7 C 0.180 0.250 0.360
8 C 0.820 0.750 0.640